[1]
Material: LiPW2
Method: DFT, PBE-GGA
State: optimized geometry

Values from the calculation:
The formation energy is 0.294 eV/atom. Its calculated volume is 14.59 Å³/atom. As for the spin magnetization: 0.00 μB/f.u. As for the total energy: -8.0135 eV per atom.

Structure (POSCAR):
```
LiPW2
1.0
4.2334 0.0000 0.0000
0.0000 2.7062 -0.0359
0.0000 0.3575 5.0902
Li P W
1 1 2
Direct
0.5000 0.2500 0.2500
0.5000 0.7500 0.7500
0.0000 0.9193 0.0064
0.0000 0.5807 0.4936
```


[2]
Material: ThCd2Sn2
Method: DFT, PBE-GGA
State: optimized geometry

Values from the calculation:
The formation energy is -0.315 eV/atom. Its calculated volume is 25.70 Å³/atom. As for the spin magnetization: 0.00 μB/f.u. As for the total energy: -3.7658 eV per atom.

Structure (POSCAR):
```
ThCd2Sn2
1.0
-3.8861 1.5682 -1.6695
-2.2813 -2.8182 2.6630
1.6131 8.0498 9.9010
Th Cd Sn
2 4 4
Direct
0.3488 0.2500 0.6977
0.6512 0.7500 0.3023
0.0435 0.7500 0.0870
0.4587 0.7500 0.9175
0.9565 0.2500 0.9130
0.5413 0.2500 0.0825
0.7500 0.2500 0.5000
0.2500 0.7500 0.5000
0.8703 0.7500 0.7406
0.1297 0.2500 0.2594
```


[3]
Material: Re3Ir
Method: DFT, PBE-GGA
State: optimized geometry

Values from the calculation:
The formation energy is 0.153 eV/atom. Its calculated volume is 15.08 Å³/atom. As for the spin magnetization: 0.00 μB/f.u. As for the total energy: -11.3986 eV per atom.

Structure (POSCAR):
```
Re3Ir
1.0
4.9414 0.0000 0.0000
0.0000 4.9414 0.0000
0.0000 0.0000 4.9414
Re Ir
6 2
Direct
0.0000 0.2500 0.5000
0.0000 0.7500 0.5000
0.2500 0.5000 0.0000
0.5000 0.0000 0.2500
0.5000 0.0000 0.7500
0.7500 0.5000 0.0000
0.0000 0.0000 0.0000
0.5000 0.5000 0.5000
```


[4]
Material: TbPr2Nd6Sm
Method: DFT, PBE-GGA
State: optimized geometry

Values from the calculation:
The formation energy is 0.114 eV/atom. Its calculated volume is 35.25 Å³/atom. As for the spin magnetization: 0.00 μB/f.u. As for the total energy: -4.6380 eV per atom.

Structure (POSCAR):
```
TbPr2Nd6Sm
1.0
9.5244 -2.1732 -2.2553
0.7058 8.7211 -2.0590
0.7058 -2.3808 8.6388
Tb Pr Nd Sm
2 4 12 2
Direct
0.2500 0.9826 0.0174
0.7500 0.0174 0.9826
0.4584 0.8104 0.7098
0.0416 0.2902 0.1896
0.5416 0.1896 0.2902
0.9584 0.7098 0.8104
0.0558 0.1201 0.7472
0.4442 0.2528 0.8799
0.9442 0.8799 0.2528
0.5558 0.7472 0.1201
0.3110 0.9803 0.4233
0.1890 0.5767 0.0197
0.6890 0.0197 0.5767
0.8110 0.4233 0.9803
0.1205 0.7054 0.5005
0.3795 0.4995 0.2946
0.8795 0.2946 0.4995
0.6205 0.5005 0.7054
0.2500 0.4061 0.5939
0.7500 0.5939 0.4061
```


[5]
Material: YHo6In3
Method: DFT, PBE-GGA
State: optimized geometry

Values from the calculation:
The formation energy is -0.130 eV/atom. Its calculated volume is 30.51 Å³/atom. As for the spin magnetization: 0.00 μB/f.u. As for the total energy: -4.3448 eV per atom.

Structure (POSCAR):
```
YHo6In3
1.0
-2.9718 6.9979 0.6404
-5.1498 -1.4966 -7.5444
-4.4934 -2.6092 7.6602
Y Ho In
2 12 6
Direct
0.0828 0.2086 0.7914
0.5828 0.7914 0.2086
0.1047 0.7655 0.7003
0.6047 0.7003 0.7655
0.2941 0.5516 0.9250
0.7941 0.9250 0.5516
0.2933 0.9542 0.0458
0.6305 0.3013 0.6987
0.1305 0.6987 0.3013
0.7933 0.0458 0.9542
0.2941 0.0750 0.4484
0.7941 0.4484 0.0750
0.1047 0.2997 0.2345
0.6047 0.2345 0.2997
0.4308 0.9879 0.7192
0.9308 0.7192 0.9879
0.3197 0.4452 0.5548
0.8197 0.5548 0.4452
0.9308 0.0121 0.2808
0.4308 0.2808 0.0121
```


[6]
Material: MoPbSe2
Method: DFT, PBE-GGA
State: optimized geometry

Values from the calculation:
Its calculated volume is 22.39 Å³/atom. As for the spin magnetization: 0.00 μB/f.u. The formation energy from raw total energies comes out at -0.31 eV/atom. As for the total energy: -5.6846 eV per atom.

Structure (POSCAR):
```
MoPbSe2
1.0
9.4401 0.0176 0.0104
8.8412 3.3089 0.0104
8.8412 1.6087 2.8915
Mo Pb Se
1 1 2
Direct
0.2500 0.2500 0.2500
0.7500 0.7500 0.7500
0.9785 0.9785 0.9785
0.5215 0.5215 0.5215
```


[7]
Material: AlHg2As
Method: DFT, PBE-GGA
State: optimized geometry

Values from the calculation:
The formation energy is 0.233 eV/atom. Its calculated volume is 21.71 Å³/atom. As for the spin magnetization: 0.00 μB/f.u. As for the total energy: -2.0156 eV per atom.

Structure (POSCAR):
```
AlHg2As
1.0
5.9115 -0.0273 0.0127
5.1248 2.9467 0.0127
2.3185 0.6133 4.9518
As Hg Al
1 2 1
Direct
0.2500 0.2500 0.2500
0.0133 0.0133 0.9878
0.4867 0.4867 0.5122
0.7500 0.7500 0.7500
```


[8]
Material: BaAsPt2
Method: DFT, PBE-GGA
State: optimized geometry

Values from the calculation:
The formation energy is -0.782 eV/atom. Its calculated volume is 28.53 Å³/atom. As for the spin magnetization: 0.00 μB/f.u. As for the total energy: -5.4456 eV per atom.

Structure (POSCAR):
```
BaAsPt2
1.0
-2.1807 -3.2297 3.5892
3.4752 -3.7840 -1.2935
5.7916 -0.7107 6.7895
As Ba Pt
2 2 4
Direct
0.5000 0.5000 0.0000
0.2500 0.7500 0.5000
0.0000 0.0000 0.0000
0.7500 0.2500 0.5000
0.3620 0.1250 0.2500
0.3880 0.6250 0.2500
0.3750 0.6380 0.7500
0.8750 0.6120 0.7500
```